P) ! GGA-PBE CeTaN, optimized geometry; values from VASP
! Symmetry: I4/mmm, No. 139
&SYSTEM
  ibrav = 0, nat = 6, ntyp = 3
/
ATOMIC_SPECIES
N 14.01 N.upf
Ce 140.12 Ce.upf
Ta 180.95 Ta.upf
CELL_PARAMETERS angstrom
3.663 0.000 0.000
0.000 3.663 0.000
-1.832 -1.832 8.298
ATOMIC_POSITIONS angstrom
N 0.000 0.000 1.466
Ce 0.000 0.000 5.698
Ta 0.000 1.832 0.000
Ce 1.832 1.832 2.600
N 1.832 1.832 6.832
Ta 1.832 0.000 0.000

***

Q) ! GGA-PBE CeTaN, optimized geometry; values from VASP
! Symmetry: I4mm, No. 107
&SYSTEM
  ibrav = 0, nat = 3, ntyp = 3
/
ATOMIC_SPECIES
N 14.01 N.upf
Ce 140.12 Ce.upf
Ta 180.95 Ta.upf
CELL_PARAMETERS angstrom
2.969 0.000 0.000
0.000 2.969 0.000
-1.485 -1.485 6.113
ATOMIC_POSITIONS angstrom
N 1.485 1.485 3.023
Ce 1.485 1.485 5.851
Ta 0.000 0.000 3.351

***

R) ! GGA-PBE CeTaN, optimized geometry; values from VASP
! Symmetry: P3m1, No. 156
&SYSTEM
  ibrav = 0, nat = 3, ntyp = 3
/
ATOMIC_SPECIES
Ce 140.12 Ce.upf
N 14.01 N.upf
Ta 180.95 Ta.upf
CELL_PARAMETERS angstrom
5.705 0.000 0.000
0.000 3.197 0.000
0.000 -1.598 2.769
ATOMIC_POSITIONS angstrom
Ce 4.208 1.598 0.923
N 0.214 0.000 0.000
Ta 1.283 0.000 1.846

***

R) takes first place; second place is 21.8 kJ/mol of atoms up.